Compound: Ac2MgMnSe5
Source: Alexandria
Functional: PBE
Structure: relaxed

Cell: 4.289 17.930 12.398 Å, 90.00 90.00 90.00°
Space group Cmc2_1 (No. 36)
Asymmetric unit:
Ac (0.000, 0.115, 0.000) x4
Ac (0.000, 0.130, 0.616) x4
Mg (0.000, 0.204, 0.326) x4
Mn (0.000, 0.437, 0.767) x4
Se (0.000, 0.050, 0.368) x4
Se (0.000, 0.290, 0.972) x4
Se (0.000, 0.310, 0.671) x4
Se (0.000, 0.353, 0.313) x4
Se (0.000, 0.498, 0.088) x4

Values from the calculation:
* energy: -5.554 eV per atom
* formation energy (no corrections): -1.51 eV per atom
* total magnetization: 5.00 μB per formula unit